This record from Alexandria describes a relaxed structure of EuLuGa. The functional is GGA-PBE.

```
EuLuGa
1.0
-2.476 2.711 -3.479
-4.939 -0.775 -0.765
-3.361 3.494 1.439
Ga Lu Eu
1 1 1
direct
0.250 0.250 0.250
0.000 0.000 0.000
0.500 0.500 0.500
```

Calculated values
Total magnetization: 7.070 μB per cell
Space group: F-43m, No. 216
Energy relative to the lowest polymorph listed for this composition: 141.6 meV per atom
Energy of formation: -0.17 eV/atom


This record from Alexandria describes a relaxed structure of EuLuGa. The functional is GGA-PBE.

```
EuLuGa
1.0
3.633 0.000 0.000
0.000 3.633 0.000
-1.816 -1.816 6.347
Eu Ga Lu
1 1 1
direct
0.021 0.021 0.043
0.680 0.680 0.360
0.298 0.298 0.597
```

Calculated values
Total magnetization: 7.302 μB per cell
Space group: I4mm, No. 107
Energy relative to the lowest polymorph listed for this composition: 0.0 meV per atom
Energy of formation: -0.31 eV/atom


This record from Alexandria describes a relaxed structure of EuLuGa4. The functional is GGA-PBE.

```
EuLuGa4
1.0
5.551 0.000 0.000
2.775 4.807 0.000
2.775 1.602 4.532
Eu Ga Lu
1 4 1
direct
0.000 0.000 0.000
0.625 0.625 0.625
0.125 0.625 0.625
0.625 0.125 0.625
0.625 0.625 0.125
0.250 0.250 0.250
```

Calculated values
Total magnetization: 7.303 μB per cell
Space group: F-43m, No. 216
Energy of formation: -0.47 eV/atom


This record from Alexandria describes a relaxed structure of EuLuGaPb. The functional is GGA-PBE.

```
EuLuGaPb
1.0
-2.965 2.064 -3.919
-1.741 -3.124 -3.953
-5.177 -1.220 -0.350
Ga Eu Pb Lu
1 1 1 1
direct
0.500 0.500 0.500
0.250 0.250 0.250
0.000 0.000 0.000
0.750 0.750 0.750
```

Calculated values
Total magnetization: 7.104 μB per cell
Space group: F-43m, No. 216
Energy of formation: -0.40 eV/atom


This record from Alexandria describes a relaxed structure of EuLuGaPd. The functional is GGA-PBE.

```
EuLuGaPd
1.0
5.056 0.000 0.000
2.528 4.378 0.000
2.528 1.459 4.128
Ga Lu Pd Eu
1 1 1 1
direct
0.250 0.250 0.250
0.500 0.500 0.500
0.750 0.750 0.750
0.000 0.000 0.000
```

Calculated values
Total magnetization: 6.874 μB per cell
Space group: F-43m, No. 216
Energy of formation: -0.58 eV/atom


This record from Alexandria describes a relaxed structure of EuLuGaSn. The functional is GGA-PBE.

```
EuLuGaSn
1.0
5.262 0.000 0.000
2.631 4.557 0.000
2.631 1.519 4.296
Ga Lu Sn Eu
1 1 1 1
direct
0.750 0.750 0.750
0.500 0.500 0.500
0.250 0.250 0.250
0.000 0.000 0.000
```

Calculated values
Total magnetization: 7.089 μB per cell
Space group: F-43m, No. 216
Energy of formation: -0.50 eV/atom


This record from Alexandria describes a relaxed structure of EuLuTlGa. The functional is GGA-PBE.

```
EuLuTlGa
1.0
-0.882 -0.303 -5.217
-1.064 -4.684 -2.240
-4.875 -1.027 -1.808
Tl Lu Eu Ga
1 1 1 1
direct
0.750 0.750 0.750
0.500 0.500 0.500
0.000 0.000 0.000
0.250 0.250 0.250
```

Calculated values
Total magnetization: 7.124 μB per cell
Space group: F-43m, No. 216
Energy of formation: -0.37 eV/atom


This record from Alexandria describes a relaxed structure of EuMgGa. The functional is GGA-PBE.

```
EuMgGa
1.0
4.663 0.000 0.000
0.000 7.788 0.000
0.000 0.000 8.475
Eu Ga Mg
4 4 4
direct
0.750 0.515 0.821
0.250 0.985 0.321
0.250 0.485 0.179
0.750 0.015 0.679
0.750 0.780 0.119
0.750 0.280 0.381
0.250 0.220 0.881
0.250 0.720 0.619
0.250 0.853 0.939
0.750 0.147 0.061
0.250 0.353 0.561
0.750 0.647 0.439
```

Calculated values
Total magnetization: 28.432 μB per cell
Space group: Pnma, No. 62
Energy of formation: -0.36 eV/atom


This record from Alexandria describes a relaxed structure of Eu2MgGa. The functional is GGA-PBE.

```
Eu2MgGa
1.0
-0.812 -3.609 -0.485
0.453 -1.580 -3.349
9.620 -4.257 1.234
Eu Ga Mg
2 1 1
direct
0.258 0.258 0.225
0.742 0.742 0.775
0.000 0.000 0.000
0.500 0.500 0.500
```

Calculated values
Total magnetization: 14.981 μB per cell
Space group: R-3m, No. 166
Energy of formation: -0.10 eV/atom


This record from Alexandria describes a relaxed structure of EuMg2Ga. The functional is GGA-PBE.

```
EuMg2Ga
1.0
-0.759 -1.653 -2.708
-1.755 -2.743 0.201
-10.227 4.471 -1.828
Mg Ga Eu
2 1 1
direct
0.901 0.901 0.296
0.099 0.099 0.704
0.500 0.500 0.500
0.000 0.000 0.000
```

Calculated values
Total magnetization: 7.782 μB per cell
Space group: R-3m, No. 166
Energy relative to the lowest polymorph listed for this composition: 292.4 meV per atom
Energy of formation: 0.13 eV/atom


This record from Alexandria describes a relaxed structure of EuMg2Ga2. The functional is GGA-PBE.

```
EuMg2Ga2
1.0
4.432 0.000 0.000
0.000 4.432 0.000
-2.216 -2.216 5.942
Mg Ga Eu
2 2 1
direct
0.250 0.750 0.500
0.750 0.250 0.500
0.395 0.395 0.790
0.605 0.605 0.210
0.000 0.000 0.000
```

Calculated values
Total magnetization: 6.890 μB per cell
Space group: I4/mmm, No. 139
Energy of formation: -0.36 eV/atom


This record from Alexandria describes a relaxed structure of EuMg2Ga. The functional is GGA-PBE.

```
EuMg2Ga
1.0
-2.929 -2.158 3.332
3.579 -2.016 1.840
0.557 3.509 2.762
Eu Ga Mg
1 1 2
direct
0.500 0.500 0.500
0.500 0.000 0.000
0.000 0.000 0.500
0.000 0.500 0.000
```

Calculated values
Total magnetization: 7.372 μB per cell
Space group: P4/mmm, No. 123
Energy relative to the lowest polymorph listed for this composition: 0.0 meV per atom
Energy of formation: -0.17 eV/atom